# 1
This record from Alexandria via LeMat-Bulk describes an optimized crystal structure of Be2P. The functional is PBE.

The space group is Fm-3m (No. 225) and the conventional cell measures 5.171, 5.171 and 5.171 Å, with angles of 90.00, 90.00 and 90.00 degrees. The distinct sites, in fractional coordinates, are Be at (0.250, 0.250, 0.250) and P at (0.000, 0.000, 0.000).

Its total DFT energy (no corrections) is -48.92 eV for the cell shown. The relative energy among the computed polymorphs comes out at 347 meV/atom. For the formation energy, the calculation gives 0.21 eV/atom.


# 2
This record from Alexandria via LeMat-Bulk describes an optimized crystal structure of AgGePdPt. The functional is PBE.

The space group is F-43m (No. 216) and the conventional cell measures 6.358, 6.358 and 6.358 Å, with angles of 90.00, 90.00 and 90.00 degrees. The distinct sites, in fractional coordinates, are Ag at (0.000, 0.000, 0.000), Ge at (0.000, 0.000, 0.500), Pd at (0.250, 0.250, 0.750) and Pt at (0.250, 0.250, 0.250).

Its total DFT energy (no corrections) is -77.32 eV for the cell shown. For the formation energy, the calculation gives -0.16 eV/atom.


# 3
This record from Alexandria via LeMat-Bulk describes an optimized crystal structure of Na3OsBr. The functional is PBE.

The space group is Pm-3m (No. 221) and the conventional cell measures 5.704, 5.704 and 5.704 Å, with angles of 90.00, 90.00 and 90.00 degrees. The distinct sites, in fractional coordinates, are Na at (0.000, 0.000, 0.500), Os at (0.000, 0.000, 0.000) and Br at (0.500, 0.500, 0.500).

Its total DFT energy (no corrections) is -13.05 eV for the cell shown. The relative energy among the computed polymorphs comes out at 66 meV/atom. The formation energy from raw total energies comes out at 0.763 eV per atom.


# 4
This record from Alexandria via LeMat-Bulk describes an optimized crystal structure of TbY2ScP4. The functional is PBE.

The space group is P2/m (No. 10) and the conventional cell measures 6.851, 3.961 and 6.853 Å, with angles of 90.00, 109.48 and 90.00 degrees. The distinct sites, in fractional coordinates, are Tb at (0.000, 0.000, 0.000), Y at (0.000, 0.500, 0.500), Y at (0.500, 0.000, 0.500), Sc at (0.500, 0.500, 0.000), P at (0.256, 0.500, 0.245) and P at (0.260, 0.000, 0.760).

Its total DFT energy (no corrections) is -58.07 eV for the cell shown. For the formation energy, the calculation gives -1.57 eV/atom.


The calculation returns the following total magnetic moment values, one per record and in order: 0.0 0.0 2.0 0.0 μB/f.u..